# 1
Below is a relaxed structure of Pm2MnCo2, with properties calculated at the PBE-GGA level.

The energy above the lowest structure with this stoichiometry comes out at 0.00 eV per formula unit. For the total energy, the calculation gives -6.62 eV per atom. Its energy of formation from the pure elements is -0.039 eV per atom. As for the density of states at the Fermi level: 5.4 states/eV/f.u.

The structure belongs to space group Immm (No. 71); the cell edges are 3.9993, 5.4606 and 8.7308 Å and the angles 90.00°, 90.00° and 90.00°. The inequivalent atoms are Pm at (0.0000, 0.0000, 0.1960), Mn at (0.0000, 0.5000, 0.0000) and Co at (0.0000, 0.2461, 0.5000).

***

# 2
Below is a relaxed structure of AcPm4Y10, with properties calculated at the PBE-GGA level.

For the total energy, the calculation gives -5.33 eV per atom. Its energy of formation from the pure elements is 0.525 eV per atom. As for the density of states at the Fermi level: 30.2 states/eV/f.u.

The structure belongs to space group I4/m (No. 87); the cell edges are 12.9400, 12.9400 and 6.6673 Å and the angles 90.00°, 90.00° and 90.00°. The inequivalent atoms are Ac at (0.0000, 0.0000, 0.0000), Pm at (0.0670, 0.8250, 0.5000), Y at (0.0000, 0.5000, 0.2500) and Y at (0.1304, 0.2943, 0.2506).

***

Repeat the second record exactly.
Below is a relaxed structure of AcPm4Y10, with properties calculated at the PBE-GGA level.

For the total energy, the calculation gives -5.33 eV per atom. Its energy of formation from the pure elements is 0.525 eV per atom. As for the density of states at the Fermi level: 30.2 states/eV/f.u.

The structure belongs to space group I4/m (No. 87); the cell edges are 12.9400, 12.9400 and 6.6673 Å and the angles 90.00°, 90.00° and 90.00°. The inequivalent atoms are Ac at (0.0000, 0.0000, 0.0000), Pm at (0.0670, 0.8250, 0.5000), Y at (0.0000, 0.5000, 0.2500) and Y at (0.1304, 0.2943, 0.2506).